1.
A plane-wave DFT calculation with GGA-PBE was carried out for crystalline NbTeIN2 at its relaxed geometry.

Cell lengths 4.105, 4.105, 6.582 Å; angles 90.00, 90.00, 90.00 degrees
Fractional positions:
Nb 0.000 0.000 0.000
Te 0.500 0.500 0.500
I 0.500 0.500 0.000
N 0.000 0.500 0.500
N 0.500 0.000 0.500

M_tot = 3.0 μB/cell
Electronic total energy = -4.480 eV per atom
Uncorrected formation energy = 1802 meV per atom
Energy above the most stable polymorph in this dataset = 123.2 kJ/mol of atoms
Calculated volume = 110.9 Å³/cell
N(E_F) = 1.0684 states/eV per atom

2.
A plane-wave DFT calculation with GGA-PBE was carried out for crystalline NbTe2IN at its relaxed geometry.

Cell lengths 5.392, 5.392, 5.804 Å; angles 90.00, 90.00, 90.00 degrees
Fractional positions:
Nb 0.000 0.000 0.000
Te 0.000 0.500 0.000
Te 0.500 0.000 0.000
I 0.000 0.000 0.500
N 0.500 0.500 0.500

M_tot = 2.9 μB/cell
Electronic total energy = -4.238 eV per atom
Uncorrected formation energy = 1008 meV per atom
Energy above the most stable polymorph in this dataset = 78.0 kJ/mol of atoms
Calculated volume = 168.8 Å³/cell
N(E_F) = 0.2782 states/eV per atom

3.
A plane-wave DFT calculation with GGA-PBE was carried out for crystalline TiNbIN2 at its relaxed geometry.

Cell lengths 3.989, 3.989, 5.325 Å; angles 90.00, 90.00, 90.00 degrees
Fractional positions:
Ti 0.000 0.000 0.000
Nb 0.500 0.500 0.500
I 0.000 0.000 0.500
N 0.000 0.500 0.000
N 0.500 0.000 0.000

M_tot = 0.0 μB/cell
Electronic total energy = -6.420 eV per atom
Uncorrected formation energy = 813 meV per atom
Energy above the most stable polymorph in this dataset = 17.0 kJ/mol of atoms
Calculated volume = 84.7 Å³/cell
N(E_F) = 0.7590 states/eV per atom